1.
The following is a PBE-GGA calculation of a geometry-optimized ZrReSi2 structure, from Alexandria via LeMat-Bulk.

Lattice parameters (Å, degrees): 5.655 6.629 3.344 90.00 93.05 90.00
Fractional coordinates of all 8 atoms:
Zr 0.000 0.000 0.000
Zr 0.500 0.500 0.000
Re 0.000 0.500 0.000
Re 0.500 0.000 0.000
Si 0.250 0.250 0.500
Si 0.250 0.750 0.500
Si 0.750 0.250 0.500
Si 0.750 0.750 0.500

Calculated values
The crystal system is monoclinic. The space group is C2/m, No. 12. As for the uncorrected formation energy: -0.137 eV/atom. The value obtained for the total magnetization is 0.00 Bohr magnetons per cell. For the total energy, the calculation gives -32.39 eV per formula unit. The calculation puts the density of states at the Fermi level at 5.40 states/eV/cell.


2.
The following is a PBE-GGA calculation of a geometry-optimized CuTe2Mo structure, from Alexandria via LeMat-Bulk.

Lattice parameters (Å, degrees): 3.390 3.390 6.825 90.00 90.00 90.00
Fractional coordinates of all 4 atoms:
Cu 0.000 0.000 0.000
Te 0.500 0.500 0.261
Te 0.500 0.500 0.739
Mo 0.000 0.000 0.500

Calculated values
The crystal system is tetragonal. As for the distance to the lowest polymorph of the same formula: 0.165 eV/atom. The space group is P4/mmm, No. 123. As for the uncorrected formation energy: 0.261 eV/atom. The value obtained for the total magnetization is 0.00 Bohr magnetons per cell. For the total energy, the calculation gives -20.17 eV per formula unit. The calculation puts the density of states at the Fermi level at 2.46 states/eV/cell.


3.
The following is a PBE-GGA calculation of a geometry-optimized ScIn2Fe structure, from Alexandria via LeMat-Bulk.

Lattice parameters (Å, degrees): 4.075 4.075 20.222 90.00 90.00 90.00
Fractional coordinates of all 16 atoms:
Sc 0.000 0.000 0.000
Sc 0.000 0.500 0.250
Sc 0.500 0.000 0.750
Sc 0.500 0.500 0.500
In 0.236 0.250 0.625
In 0.250 0.736 0.875
In 0.250 0.764 0.375
In 0.264 0.250 0.125
In 0.736 0.750 0.125
In 0.750 0.236 0.375
In 0.750 0.264 0.875
In 0.764 0.750 0.625
Fe 0.000 0.000 0.500
Fe 0.000 0.500 0.750
Fe 0.500 0.000 0.250
Fe 0.500 0.500 0.000

Calculated values
The crystal system is tetragonal. The space group is I-42d, No. 122. For the formation energy, the calculation gives 0.407 eV/atom. The value obtained for the total magnetization is 0.00 Bohr magnetons per cell. For the total energy, the calculation gives -18.64 eV per formula unit. The calculation puts the density of states at the Fermi level at 21.14 states/eV/cell.


4.
The following is a PBE-GGA calculation of a geometry-optimized Er4AgPd15 structure, from Alexandria via LeMat-Bulk.

Lattice parameters (Å, degrees): 4.079 4.079 20.482 90.00 90.00 90.00
Fractional coordinates of all 20 atoms:
Er 0.000 0.000 0.101
Er 0.000 0.000 0.303
Er 0.000 0.000 0.697
Er 0.000 0.000 0.899
Ag 0.000 0.000 0.500
Pd 0.000 0.500 0.000
Pd 0.000 0.500 0.202
Pd 0.000 0.500 0.403
Pd 0.000 0.500 0.597
Pd 0.000 0.500 0.798
Pd 0.500 0.000 0.000
Pd 0.500 0.000 0.202
Pd 0.500 0.000 0.403
Pd 0.500 0.000 0.597
Pd 0.500 0.000 0.798
Pd 0.500 0.500 0.102
Pd 0.500 0.500 0.303
Pd 0.500 0.500 0.500
Pd 0.500 0.500 0.697
Pd 0.500 0.500 0.898

Calculated values
The crystal system is tetragonal. The space group is P4/mmm, No. 123. For the formation energy, the calculation gives -0.716 eV/atom. The value obtained for the total magnetization is 0.00 Bohr magnetons per cell. For the total energy, the calculation gives -113.31 eV per formula unit. The calculation puts the density of states at the Fermi level at 18.66 states/eV/cell.


5.
The following is a PBE-GGA calculation of a geometry-optimized TaFeAu2 structure, from Alexandria via LeMat-Bulk.

Lattice parameters (Å, degrees): 7.283 7.283 5.224 90.00 90.00 90.00
Fractional coordinates of all 16 atoms:
Ta 0.000 0.000 0.000
Ta 0.000 0.500 0.250
Ta 0.500 0.000 0.750
Ta 0.500 0.500 0.500
Fe 0.000 0.000 0.500
Fe 0.000 0.500 0.750
Fe 0.500 0.000 0.250
Fe 0.500 0.500 0.000
Au 0.227 0.250 0.625
Au 0.250 0.727 0.875
Au 0.250 0.773 0.375
Au 0.273 0.250 0.125
Au 0.727 0.750 0.125
Au 0.750 0.227 0.375
Au 0.750 0.273 0.875
Au 0.773 0.750 0.625

Calculated values
The crystal system is tetragonal. As for the distance to the lowest polymorph of the same formula: 0.633 eV/atom. The space group is I-42d, No. 122. For the formation energy, the calculation gives 0.646 eV/atom. The value obtained for the total magnetization is 0.00 Bohr magnetons per cell. For the total energy, the calculation gives -24.29 eV per formula unit. The calculation puts the density of states at the Fermi level at 23.64 states/eV/cell.


6.
The following is a PBE-GGA calculation of a geometry-optimized CsGa3Si structure, from Alexandria via LeMat-Bulk.

Lattice parameters (Å, degrees): 5.237 5.237 5.237 90.00 90.00 90.00
Fractional coordinates of all 5 atoms:
Cs 0.000 0.000 0.000
Ga 0.000 0.500 0.500
Ga 0.500 0.000 0.500
Ga 0.500 0.500 0.000
Si 0.500 0.500 0.500

Calculated values
The crystal system is cubic. As for the distance to the lowest polymorph of the same formula: 0.341 eV/atom. The space group is Pm-3m, No. 221. As for the uncorrected formation energy: 0.313 eV/atom. The value obtained for the total magnetization is 0.00 Bohr magnetons per cell. For the total energy, the calculation gives -13.79 eV per formula unit. The calculation puts the density of states at the Fermi level at 3.55 states/eV/cell.


7.
The following is a PBE-GGA calculation of a geometry-optimized PH3Br structure, from Alexandria via LeMat-Bulk.

Lattice parameters (Å, degrees): 3.779 3.779 3.779 90.00 90.00 90.00
Fractional coordinates of all 5 atoms:
P 0.000 0.000 0.000
H 0.000 0.500 0.500
H 0.500 0.000 0.500
H 0.500 0.500 0.000
Br 0.500 0.500 0.500

Calculated values
The crystal system is cubic. As for the distance to the lowest polymorph of the same formula: 1.409 eV/atom. The space group is Pm-3m, No. 221. The value obtained for the total magnetization is 0.00 Bohr magnetons per cell. For the total energy, the calculation gives -10.26 eV per formula unit. The calculation puts the density of states at the Fermi level at 3.75 states/eV/cell.


8.
The following is a PBE-GGA calculation of a geometry-optimized PmTl3Te2O8 structure, from Alexandria via LeMat-Bulk.

Lattice parameters (Å, degrees): 6.532 6.532 7.832 90.00 90.00 120.00
Fractional coordinates of all 14 atoms:
Pm 0.000 0.000 0.000
Tl 0.000 0.000 0.500
Tl 0.333 0.667 0.235
Tl 0.667 0.333 0.765
Te 0.333 0.667 0.772
Te 0.667 0.333 0.228
O 0.163 0.326 0.813
O 0.163 0.837 0.813
O 0.326 0.163 0.187
O 0.333 0.667 0.535
O 0.667 0.333 0.465
O 0.674 0.837 0.813
O 0.837 0.163 0.187
O 0.837 0.674 0.187

Calculated values
The crystal system is trigonal. The space group is P-3m1, No. 164. As for the uncorrected formation energy: -1.228 eV/atom. The value obtained for the total magnetization is 0.88 Bohr magnetons per cell. For the total energy, the calculation gives -74.99 eV per formula unit. The calculation puts the density of states at the Fermi level at 5.33 states/eV/cell.


9.
The following is a PBE-GGA calculation of a geometry-optimized CdAgRh2 structure, from Alexandria via LeMat-Bulk.

Lattice parameters (Å, degrees): 4.075 4.075 7.897 90.00 90.00 90.00
Fractional coordinates of all 8 atoms:
Cd 0.000 0.000 0.000
Cd 0.500 0.500 0.500
Ag 0.000 0.500 0.250
Ag 0.500 0.000 0.750
Rh 0.000 0.000 0.500
Rh 0.000 0.500 0.750
Rh 0.500 0.000 0.250
Rh 0.500 0.500 0.000

Calculated values
The crystal system is tetragonal. The space group is I-4m2, No. 119. For the formation energy, the calculation gives 0.128 eV/atom. The value obtained for the total magnetization is 2.18 Bohr magnetons per cell. For the total energy, the calculation gives -17.96 eV per formula unit. The calculation puts the density of states at the Fermi level at 8.83 states/eV/cell.


10.
The following is a PBE-GGA calculation of a geometry-optimized BaY2Si structure, from Alexandria via LeMat-Bulk.

Lattice parameters (Å, degrees): 4.883 4.883 9.725 90.00 90.00 90.00
Fractional coordinates of all 8 atoms:
Ba 0.000 0.000 0.000
Ba 0.500 0.500 0.500
Y 0.000 0.500 0.250
Y 0.000 0.500 0.750
Y 0.500 0.000 0.250
Y 0.500 0.000 0.750
Si 0.000 0.000 0.500
Si 0.500 0.500 0.000

Calculated values
The crystal system is tetragonal. The space group is I4/mmm, No. 139. As for the uncorrected formation energy: 0.123 eV/atom. The value obtained for the total magnetization is 0.00 Bohr magnetons per cell. For the total energy, the calculation gives -19.78 eV per formula unit. The calculation puts the density of states at the Fermi level at 11.44 states/eV/cell.


11.
The following is a PBE-GGA calculation of a geometry-optimized Mg2SbN structure, from Alexandria via LeMat-Bulk.

Lattice parameters (Å, degrees): 3.270 3.270 22.090 90.00 90.00 120.00
Fractional coordinates of all 12 atoms:
Mg 0.000 0.000 0.213
Mg 0.000 0.000 0.787
Mg 0.333 0.667 0.454
Mg 0.333 0.667 0.880
Mg 0.667 0.333 0.120
Mg 0.667 0.333 0.546
Sb 0.000 0.000 0.000
Sb 0.333 0.667 0.667
Sb 0.667 0.333 0.333
N 0.000 0.000 0.500
N 0.333 0.667 0.167
N 0.667 0.333 0.833

Calculated values
The crystal system is trigonal. As for the distance to the lowest polymorph of the same formula: 0.000 eV/atom. The space group is R-3m, No. 166. As for the uncorrected formation energy: -0.563 eV/atom. The value obtained for the total magnetization is 0.00 Bohr magnetons per cell. For the total energy, the calculation gives -17.89 eV per formula unit. The calculation puts the density of states at the Fermi level at 1.98 states/eV/cell.


12.
The following is a PBE-GGA calculation of a geometry-optimized BaNaCa2N structure, from Alexandria via LeMat-Bulk.

Lattice parameters (Å, degrees): 5.042 5.042 5.952 90.00 90.00 90.00
Fractional coordinates of all 5 atoms:
Ba 0.000 0.000 0.000
Na 0.500 0.500 0.000
Ca 0.000 0.500 0.500
Ca 0.500 0.000 0.500
N 0.000 0.000 0.500

Calculated values
The crystal system is tetragonal. The space group is P4/mmm, No. 123. As for the uncorrected formation energy: -0.249 eV/atom. The value obtained for the total magnetization is 0.60 Bohr magnetons per cell. For the total energy, the calculation gives -16.81 eV per formula unit. The calculation puts the density of states at the Fermi level at 4.32 states/eV/cell.